[1]
NaSi2W2 | GGA-PBE | optimized geometry

a = 6.869 Å, b = 6.869 Å, c = 3.242 Å
α = 90.00°, β = 90.00°, γ = 90.00°
Atoms (fractional coordinates):
Na  0.000  0.000  0.000
Na  0.500  0.500  0.000
Si  0.131  0.369  0.000
Si  0.369  0.869  0.000
Si  0.631  0.131  0.000
Si  0.869  0.631  0.000
W  0.161  0.661  0.500
W  0.339  0.161  0.500
W  0.661  0.839  0.500
W  0.839  0.339  0.500

ΔE_f (raw)	0.240	eV per atom
total DFT energy (no corrections)	-73.7	eV per cell

=====

[2]
NaSiW | GGA-PBE | optimized geometry

a = 2.759 Å, b = 4.404 Å, c = 10.202 Å
α = 84.01°, β = 89.88°, γ = 89.98°
Atoms (fractional coordinates):
Na  0.246  0.279  0.370
Na  0.754  0.721  0.630
Si  0.252  0.634  0.895
Si  0.748  0.366  0.105
W  0.248  0.858  0.116
W  0.752  0.142  0.884

ΔE_f (raw)	0.282	eV per atom
total DFT energy (no corrections)	-37.7	eV per cell
relative energy among the computed polymorphs	190	meV/atom

=====

[3]
NaSiW3 | GGA-PBE | optimized geometry

a = 4.494 Å, b = 4.494 Å, c = 4.494 Å
α = 90.00°, β = 90.00°, γ = 90.00°
Atoms (fractional coordinates):
Na  0.000  0.000  0.000
Si  0.500  0.500  0.500
W  0.000  0.000  0.500
W  0.000  0.500  0.000
W  0.500  0.000  0.000

ΔE_f (raw)	3.126	eV per atom
total DFT energy (no corrections)	-30.0	eV per cell
relative energy among the computed polymorphs	1544	meV/atom

=====

[4]
NaSiW | GGA-PBE | optimized geometry

a = 4.684 Å, b = 4.684 Å, c = 8.024 Å
α = 101.66°, β = 101.66°, γ = 42.11°
Atoms (fractional coordinates):
Na  0.157  0.157  0.106
Na  0.843  0.843  0.894
Si  0.097  0.097  0.668
Si  0.903  0.903  0.332
W  0.362  0.362  0.570
W  0.638  0.638  0.430

ΔE_f (raw)	0.177	eV per atom
total DFT energy (no corrections)	-38.3	eV per cell
relative energy among the computed polymorphs	85	meV/atom

=====

[5]
NaSiW | GGA-PBE | optimized geometry

a = 4.701 Å, b = 4.701 Å, c = 7.864 Å
α = 105.24°, β = 105.24°, γ = 42.05°
Atoms (fractional coordinates):
Na  0.159  0.159  0.093
Na  0.841  0.841  0.907
Si  0.482  0.482  0.672
Si  0.518  0.518  0.328
W  0.171  0.171  0.573
W  0.829  0.829  0.427

ΔE_f (raw)	0.180	eV per atom
total DFT energy (no corrections)	-38.3	eV per cell
relative energy among the computed polymorphs	87	meV/atom

=====

[6]
NaSiW | GGA-PBE | optimized geometry

a = 3.198 Å, b = 3.198 Å, c = 11.478 Å
α = 90.00°, β = 90.00°, γ = 90.00°
Atoms (fractional coordinates):
Na  0.250  0.250  0.132
Na  0.750  0.750  0.868
Si  0.250  0.250  0.683
Si  0.750  0.750  0.317
W  0.250  0.250  0.432
W  0.750  0.750  0.568

ΔE_f (raw)	0.092	eV per atom
total DFT energy (no corrections)	-38.8	eV per cell
relative energy among the computed polymorphs	0	meV/atom

=====

[7]
NaSiW | GGA-PBE | optimized geometry

a = 2.817 Å, b = 4.094 Å, c = 10.951 Å
α = 90.00°, β = 92.88°, γ = 90.00°
Atoms (fractional coordinates):
Na  0.000  0.000  0.000
Na  0.427  0.500  0.735
Si  0.097  0.000  0.270
Si  0.831  0.000  0.526
W  0.292  0.500  0.443
W  0.570  0.500  0.228

ΔE_f (raw)	0.294	eV per atom
total DFT energy (no corrections)	-37.6	eV per cell
relative energy among the computed polymorphs	202	meV/atom

=====

[8]
NaSiW | GGA-PBE | optimized geometry

a = 3.077 Å, b = 4.143 Å, c = 10.733 Å
α = 90.00°, β = 97.96°, γ = 90.00°
Atoms (fractional coordinates):
Na  0.173  0.250  0.358
Na  0.827  0.750  0.642
Si  0.061  0.750  0.126
Si  0.939  0.250  0.874
W  0.464  0.750  0.924
W  0.536  0.250  0.076

ΔE_f (raw)	0.239	eV per atom
total DFT energy (no corrections)	-38.0	eV per cell
relative energy among the computed polymorphs	147	meV/atom